1.
The following is a GGA-PBE calculation of a relaxed structure of KSO4, from the Alexandria database.

abc: 5.736 5.721 6.941
angles: 114.34 115.81 90.00
Site moments in Bohr magnetons follow the coordinates.
Fractional coordinates of all 12 atoms:
O 0.387 0.913 0.632  0.22
O 0.295 0.775 0.257  0.23
O 0.705 0.225 0.743  0.23
O 0.795 0.482 0.257  0.23
O 0.205 0.518 0.743  0.23
O 0.613 0.087 0.368  0.22
O 0.887 0.720 0.632  0.22
O 0.113 0.280 0.368  0.22
K 0.750 0.763 0.000  0.00
K 0.250 0.237 0.000  0.00
S 0.500 0.000 0.500  -0.02
S 0.000 0.500 0.500  -0.02

***

2.
The following is a GGA-PBE calculation of a relaxed structure of K6S2O, from the Alexandria database.

abc: 4.408 8.037 8.040
angles: 119.99 90.00 90.00
Site moments in Bohr magnetons follow the coordinates.
Fractional coordinates of all 9 atoms:
K 0.500 0.410 0.410  0.00
K 0.000 0.234 0.000  0.00
K 0.500 0.000 0.590  0.00
K 0.000 0.000 0.234  0.00
K 0.500 0.590 0.000  0.00
K 0.000 0.766 0.766  0.00
S 0.000 0.667 0.333  0.00
S 0.000 0.333 0.667  0.00
O 0.500 0.000 0.000  0.10

Computed properties:
* density of states at the Fermi level: 0.0 states/eV per cell
* ΔE to the lowest computed polymorph: 2.0 kJ/mol of atoms

***

3.
The following is a GGA-PBE calculation of a relaxed structure of KS2O, from the Alexandria database.

abc: 5.421 5.421 7.048
angles: 67.39 67.39 90.00
Fractional coordinates of all 8 atoms:
S 0.875 0.625 0.750
S 0.375 0.625 0.250
S 0.375 0.125 0.250
S 0.375 0.625 0.750
O 0.500 0.500 0.000
O 0.250 0.750 0.500
K 0.000 0.000 0.000
K 0.750 0.250 0.500

Computed properties:
* density of states at the Fermi level: 1.4 states/eV per cell

***

4.
The following is a GGA-PBE calculation of a relaxed structure of KS2O3, from the Alexandria database.

abc: 8.356 10.323 11.969
angles: 100.92 110.43 90.00
Fractional coordinates of all 48 atoms:
S 0.557 0.925 0.699
S 0.165 0.759 0.418
S 0.807 0.600 0.199
S 0.604 0.932 0.889
S 0.285 0.432 0.889
S 0.727 0.223 0.707
S 0.490 0.109 0.681
S 0.190 0.609 0.681
S 0.392 0.100 0.199
S 0.009 0.594 0.371
S 0.980 0.723 0.707
S 0.978 0.208 0.325
S 0.347 0.708 0.325
S 0.141 0.425 0.699
S 0.362 0.094 0.371
S 0.253 0.259 0.418
O 0.526 0.007 0.205
O 0.758 0.738 0.203
O 0.366 0.566 0.320
O 0.986 0.829 0.642
O 0.445 0.238 0.203
O 0.954 0.066 0.320
O 0.027 0.771 0.840
O 0.679 0.507 0.205
O 0.826 0.632 0.653
O 0.630 0.792 0.899
O 0.938 0.242 0.205
O 0.907 0.293 0.406
O 0.873 0.553 0.100
O 0.499 0.793 0.406
O 0.227 0.053 0.100
O 0.657 0.329 0.642
O 0.269 0.292 0.899
O 0.267 0.742 0.205
O 0.827 0.132 0.653
O 0.812 0.271 0.840
O 0.451 0.980 0.912
O 0.461 0.480 0.912
O 0.759 0.021 0.958
O 0.199 0.521 0.958
K 0.978 0.887 0.127
K 0.093 0.050 0.846
K 0.652 0.441 0.434
K 0.404 0.761 0.031
K 0.149 0.387 0.127
K 0.753 0.550 0.846
K 0.627 0.261 0.031
K 0.781 0.941 0.434

Computed properties:
* density of states at the Fermi level: 0.0 states/eV per cell

***

5.
The following is a GGA-PBE calculation of a relaxed structure of KS2O6, from the Alexandria database.

abc: 6.277 7.719 7.719
angles: 76.36 69.06 69.06
Fractional coordinates of all 18 atoms:
O 0.457 0.314 0.369
O 0.957 0.369 0.314
O 0.543 0.686 0.631
O 0.290 0.083 0.216
O 0.790 0.216 0.083
O 0.210 0.784 0.917
O 0.107 0.123 0.554
O 0.607 0.554 0.123
O 0.710 0.917 0.784
O 0.893 0.877 0.446
O 0.043 0.631 0.686
O 0.393 0.446 0.877
K 0.250 0.167 0.833
K 0.750 0.833 0.167
S 0.155 0.209 0.360
S 0.655 0.360 0.209
S 0.345 0.640 0.791
S 0.845 0.791 0.640

Computed properties:
* density of states at the Fermi level: 4.4 states/eV per cell
* ΔE to the lowest computed polymorph: 0.0 kJ/mol of atoms

***

6.
The following is a GGA-PBE calculation of a relaxed structure of K3SO6, from the Alexandria database.

abc: 6.040 6.040 8.542
angles: 90.00 90.00 90.00
Site moments in Bohr magnetons follow the coordinates.
Fractional coordinates of all 20 atoms:
K 0.500 0.500 0.000  0.00
K 0.000 0.500 0.250  0.00
K 0.500 0.000 0.750  0.00
K 0.500 0.000 0.250  0.00
K 0.000 0.000 0.500  0.00
K 0.000 0.500 0.750  0.00
S 0.500 0.500 0.500  -0.04
S 0.000 0.000 0.000  -0.04
O 0.501 0.500 0.309  0.44
O 0.310 0.692 0.500  0.44
O 0.692 0.690 0.500  0.44
O 0.192 0.810 0.000  0.44
O 0.190 0.192 0.000  0.44
O 0.499 0.500 0.691  0.44
O 0.810 0.808 0.000  0.44
O 0.999 0.000 0.191  0.44
O 0.808 0.190 0.000  0.44
O 0.308 0.310 0.500  0.44
O 0.001 0.000 0.809  0.44
O 0.690 0.308 0.500  0.44

***

Short version: energy relative to the elements, uncorrected = -879.2 -981.7 -289.9 -1362.2 -1281.7 -1118.5 meV/atom, in the order given.
Short version: calculated volume = 91 247 87 118 162 156 Å³/f.u., in the order given.